1.
{
  "formula": "KAs2BrN",
  "functional": "PBE",
  "state": "optimized geometry",
  "dos_ef_per_ev_cell": 3.314,
  "volume_a3_per_atom": 32.3,
  "e_form_raw_mev_per_atom": 253,
  "lattice": [[4.2787, 0.0000, 0.0000], [0.0000, 4.2787, 0.0000], [0.0000, 0.0000, 8.8109]],
  "species": ["K", "As", "As", "Br", "N"],
  "fractional_positions": [[0.0000, 0.0000, 0.0000], [0.0000, 0.5000, 0.5000], [0.5000, 0.0000, 0.5000], [0.5000, 0.5000, 0.0000], [0.5000, 0.5000, 0.5000]]
}


2.
{
  "formula": "PuPaGe",
  "functional": "PBE",
  "state": "optimized geometry",
  "dos_ef_per_ev_cell": 5.921,
  "volume_a3_per_atom": 21.7,
  "formation_energy_kcal_per_mol_atoms": -4.02,
  "lattice": [[4.7911, 0.0000, 0.0000], [-2.3955, 4.1492, 0.0000], [0.0000, 0.0000, 3.2766]],
  "species": ["Pu", "Pa", "Ge"],
  "fractional_positions": [[0.0000, 0.0000, 0.0000], [0.3333, 0.6667, 0.2942], [0.6667, 0.3333, 0.6983]]
}


Repeat the first record exactly.
{
  "formula": "KAs2BrN",
  "functional": "PBE",
  "state": "optimized geometry",
  "dos_ef_per_ev_cell": 3.314,
  "volume_a3_per_atom": 32.3,
  "e_form_raw_mev_per_atom": 253,
  "lattice": [[4.2787, 0.0000, 0.0000], [0.0000, 4.2787, 0.0000], [0.0000, 0.0000, 8.8109]],
  "species": ["K", "As", "As", "Br", "N"],
  "fractional_positions": [[0.0000, 0.0000, 0.0000], [0.0000, 0.5000, 0.5000], [0.5000, 0.0000, 0.5000], [0.5000, 0.5000, 0.0000], [0.5000, 0.5000, 0.5000]]
}